(1)
Material: KInCl2
Method: DFT, GGA-PBEsol
State: relaxed

The space group is Fm-3m (No. 225) and the conventional cell measures 7.4790, 7.4790 and 7.4790 Å, with angles of 90.00, 90.00 and 90.00 degrees. The inequivalent atoms are K at (0.0000, 0.0000, 0.0000), In at (0.0000, 0.0000, 0.5000) and Cl at (0.2500, 0.2500, 0.2500).

The spin magnetization comes out at 0.0 μB per cell. The uncorrected formation energy comes out at -1288.2 meV/atom. For the energy above the most stable polymorph in this dataset, the calculation gives 0.044 eV per atom. The value obtained for the total energy is -53.1 eV for the cell shown.

=====

(2)
Material: K3InCl6
Method: DFT, GGA-PBEsol
State: relaxed

The space group is Fm-3m (No. 225) and the conventional cell measures 10.7653, 10.7653 and 10.7653 Å, with angles of 90.00, 90.00 and 90.00 degrees. The inequivalent atoms are K at (0.0000, 0.0000, 0.0000), K at (0.2500, 0.2500, 0.2500), In at (0.0000, 0.0000, 0.5000) and Cl at (0.0000, 0.0000, 0.2680).

The spin magnetization comes out at 0.0 μB per cell. The uncorrected formation energy comes out at -1579.0 meV/atom. The value obtained for the total energy is -136.9 eV for the cell shown.

=====

(3)
Material: KInCl2
Method: DFT, GGA-PBEsol
State: relaxed

The space group is P4mm (No. 99) and the conventional cell measures 4.4109, 4.4109 and 6.2367 Å, with angles of 90.00, 90.00 and 90.00 degrees. The inequivalent atoms are K at (0.0000, 0.0000, 0.0000), In at (0.5000, 0.5000, 0.5022), Cl at (0.0000, 0.0000, 0.4975) and Cl at (0.5000, 0.5000, 0.0262).

The spin magnetization comes out at 0.0 μB per cell. The uncorrected formation energy comes out at -1331.7 meV/atom. For the energy above the most stable polymorph in this dataset, the calculation gives 0.000 eV per atom. The value obtained for the total energy is -13.5 eV for the cell shown.

=====

(4)
Material: KInCl2
Method: DFT, GGA-PBEsol
State: relaxed

The space group is P2/m (No. 10) and the conventional cell measures 3.7144, 3.7142 and 7.5271 Å, with angles of 90.00, 90.07 and 90.00 degrees. The inequivalent atoms are K at (0.0000, 0.0000, 0.0000), In at (0.0000, 0.0000, 0.5000) and Cl at (0.5003, 0.5000, 0.2444).

The spin magnetization comes out at 0.0 μB per cell. The uncorrected formation energy comes out at -1295.7 meV/atom. For the energy above the most stable polymorph in this dataset, the calculation gives 0.036 eV per atom. The value obtained for the total energy is -13.3 eV for the cell shown.

=====

(5)
Material: K3InCl6
Method: DFT, GGA-PBEsol
State: relaxed

The space group is P2_1/c (No. 14) and the conventional cell measures 12.7448, 7.6104 and 12.0682 Å, with angles of 90.00, 108.24 and 90.00 degrees. The inequivalent atoms are K at (0.0909, 0.0663, 0.3511), K at (0.3183, 0.0748, 0.1161), K at (0.3201, 0.5719, 0.2671), In at (0.0000, 0.0000, 0.0000), In at (0.5000, 0.0000, 0.5000), Cl at (0.0944, 0.2179, 0.5982), Cl at (0.1232, 0.0004, 0.8758), Cl at (0.1345, 0.6757, 0.6576), Cl at (0.3467, 0.2103, 0.3936), Cl at (0.3510, 0.7105, 0.0074) and Cl at (0.4995, 0.1340, 0.6925).

The spin magnetization comes out at 0.0 μB per cell. The uncorrected formation energy comes out at -1655.5 meV/atom. The value obtained for the total energy is -139.9 eV for the cell shown.

=====

(6)
Material: KIn2Cl
Method: DFT, GGA-PBEsol
State: relaxed

The space group is Pm (No. 6) and the conventional cell measures 3.8682, 3.8559 and 8.7311 Å, with angles of 90.00, 102.77 and 90.00 degrees. The inequivalent atoms are K at (0.0000, 0.0000, 0.0000), In at (0.3162, 0.0000, 0.6279), In at (0.7337, 0.5000, 0.4624) and Cl at (0.5706, 0.5000, 0.1415).

The spin magnetization comes out at 0.0 μB per cell. The uncorrected formation energy comes out at -663.1 meV/atom. For the energy above the most stable polymorph in this dataset, the calculation gives 0.000 eV per atom. The value obtained for the total energy is -11.8 eV for the cell shown.

=====

(7)
Material: KInCl2
Method: DFT, GGA-PBEsol
State: relaxed

The space group is R-3m (No. 166, hexagonal axes) and the conventional cell measures 4.4188, 4.4188 and 21.7425 Å, with angles of 90.00, 90.00 and 120.00 degrees. The inequivalent atoms are K at (0.0000, 0.0000, 0.0000), In at (0.0000, 0.0000, 0.5000) and Cl at (0.0000, 0.0000, 0.2518).

The spin magnetization comes out at 0.0 μB per cell. The uncorrected formation energy comes out at -1316.1 meV/atom. For the energy above the most stable polymorph in this dataset, the calculation gives 0.016 eV per atom. The value obtained for the total energy is -40.2 eV for the cell shown.

=====

(8)
Material: K2LiInCl6
Method: DFT, GGA-PBEsol
State: relaxed

The space group is Fm-3m (No. 225) and the conventional cell measures 10.0170, 10.0170 and 10.0170 Å, with angles of 90.00, 90.00 and 90.00 degrees. The inequivalent atoms are K at (0.2500, 0.2500, 0.2500), Li at (0.0000, 0.0000, 0.0000), In at (0.0000, 0.0000, 0.5000) and Cl at (0.0000, 0.0000, 0.2502).

The spin magnetization comes out at 0.0 μB per cell. The uncorrected formation energy comes out at -1595.0 meV/atom. The value obtained for the total energy is -140.9 eV for the cell shown.